PBE-GGA TbYSnPt, relaxed; ΔE_f = -0.86 eV/atom
1.0
5.163 0.000 0.000
2.581 4.471 0.000
2.581 1.490 4.215
Y Tb Pt Sn
1 1 1 1
Direct
0.000 0.000 0.000
0.500 0.500 0.500
0.250 0.250 0.250
0.750 0.750 0.750